#w
This record from Alexandria via LeMat-Bulk describes a geometry-optimized As2PPb structure. The functional is PBEsol.

DOS(E_F) = 0.413 states/eV per atom
Total moment = 0.0 μB/cell

Cell lengths 4.7974, 4.7974, 3.5206 Å; angles 90.00, 90.00, 90.00 degrees
Fractional positions:
As  0.0000  0.5000  0.0000
As  0.5000  0.0000  0.0000
P  0.0000  0.0000  0.5000
Pb  0.5000  0.5000  0.5000

#x
This record from Alexandria via LeMat-Bulk describes a geometry-optimized As2PPb structure. The functional is PBEsol.

DOS(E_F) = 0.531 states/eV per atom
Total moment = 0.0 μB/cell

Cell lengths 3.9340, 3.9340, 19.1038 Å; angles 90.00, 90.00, 120.00 degrees
Fractional positions:
As  0.0000  0.0000  0.0000
As  0.0000  0.0000  0.2598
As  0.3333  0.6667  0.6667
As  0.3333  0.6667  0.9264
As  0.6667  0.3333  0.3333
As  0.6667  0.3333  0.5931
P  0.0000  0.0000  0.5228
P  0.3333  0.6667  0.1894
P  0.6667  0.3333  0.8561
Pb  0.0000  0.0000  0.7673
Pb  0.3333  0.6667  0.4340
Pb  0.6667  0.3333  0.1006

#y
This record from Alexandria via LeMat-Bulk describes a geometry-optimized As2PPb structure. The functional is PBEsol.

DOS(E_F) = 0.374 states/eV per atom
Total moment = 0.0 μB/cell

Cell lengths 4.7443, 3.8480, 5.0690 Å; angles 90.00, 108.09, 90.00 degrees
Fractional positions:
As  0.2475  0.0000  0.1809
As  0.7525  0.0000  0.8191
P  0.5000  0.5000  0.0000
Pb  0.0000  0.5000  0.5000

Stability order, top to bottom: #y, #x, #w

#w
This record from Alexandria via LeMat-Bulk describes a geometry-optimized AsPPt2 structure. The functional is PBEsol.

DOS(E_F) = 0.403 states/eV per atom
Total moment = 0.0 μB/cell

Cell lengths 7.5536, 3.4710, 5.1549 Å; angles 90.00, 92.42, 90.00 degrees
Fractional positions:
As  0.0000  0.0000  0.0000
As  0.5000  0.5000  0.0000
P  0.2888  0.0000  0.5068
P  0.7888  0.5000  0.5068
Pt  0.0828  0.5000  0.6810
Pt  0.2167  0.5000  0.2029
Pt  0.5828  0.0000  0.6810
Pt  0.7167  0.0000  0.2029

#x
This record from Alexandria via LeMat-Bulk describes a geometry-optimized AsPPt2 structure. The functional is PBEsol.

DOS(E_F) = 0.563 states/eV per atom
Total moment = 0.0 μB/cell

Cell lengths 2.8023, 3.4547, 6.5551 Å; angles 90.00, 90.00, 90.00 degrees
Fractional positions:
As  0.0000  0.0000  0.0000
P  0.5000  0.0000  0.5000
Pt  0.5000  0.5000  0.2485
Pt  0.5000  0.5000  0.7515

Stability order, top to bottom: #w, #x

#w
This record from Alexandria via LeMat-Bulk describes a geometry-optimized AsPRh3 structure. The functional is PBEsol.

DOS(E_F) = 1.463 states/eV per atom
Total moment = 0.0 μB/cell

Cell lengths 4.4658, 4.4658, 4.4658 Å; angles 90.00, 90.00, 90.00 degrees
Fractional positions:
As  0.0000  0.0000  0.0000
P  0.5000  0.5000  0.5000
Rh  0.0000  0.0000  0.5000
Rh  0.0000  0.5000  0.0000
Rh  0.5000  0.0000  0.0000

#x
This record from Alexandria via LeMat-Bulk describes a geometry-optimized AsPRh3 structure. The functional is PBEsol.

DOS(E_F) = 1.231 states/eV per atom
Total moment = 0.0 μB/cell

Cell lengths 4.3347, 4.3347, 4.3347 Å; angles 90.00, 90.00, 90.00 degrees
Fractional positions:
As  0.0000  0.0000  0.0000
P  0.5000  0.5000  0.5000
Rh  0.0000  0.5000  0.5000
Rh  0.5000  0.0000  0.5000
Rh  0.5000  0.5000  0.0000

Stability order, top to bottom: #x, #w

#w
This record from Alexandria via LeMat-Bulk describes a geometry-optimized AsPRu structure. The functional is PBEsol.

DOS(E_F) = 0.646 states/eV per atom
Total moment = 0.0 μB/cell

Cell lengths 3.1331, 3.1331, 5.2325 Å; angles 90.00, 90.00, 120.00 degrees
Fractional positions:
As  0.0000  0.0000  0.0000
P  0.3333  0.6667  0.6330
Ru  0.6667  0.3333  0.3439

#x
This record from Alexandria via LeMat-Bulk describes a geometry-optimized AsPRu structure. The functional is PBEsol.

DOS(E_F) = 0.684 states/eV per atom
Total moment = 0.0 μB/cell

Cell lengths 5.8174, 5.8174, 5.8174 Å; angles 90.00, 90.00, 90.00 degrees
Fractional positions:
As  0.0000  0.0000  0.0000
As  0.0000  0.5000  0.5000
As  0.5000  0.0000  0.5000
As  0.5000  0.5000  0.0000
P  0.2500  0.2500  0.2500
P  0.2500  0.7500  0.7500
P  0.7500  0.2500  0.7500
P  0.7500  0.7500  0.2500
Ru  0.2500  0.2500  0.7500
Ru  0.2500  0.7500  0.2500
Ru  0.7500  0.2500  0.2500
Ru  0.7500  0.7500  0.7500

Stability order, top to bottom: #w, #x

#w
This record from Alexandria via LeMat-Bulk describes a geometry-optimized Sb2AsP structure. The functional is PBEsol.

DOS(E_F) = 0.135 states/eV per atom
Total moment = 0.0 μB/cell

Cell lengths 11.3171, 3.9712, 4.3286 Å; angles 90.00, 90.33, 90.00 degrees
Fractional positions:
Sb  0.0000  0.0000  0.0000
Sb  0.2389  0.5000  0.5256
Sb  0.5000  0.5000  0.0000
Sb  0.7389  0.0000  0.5256
As  0.2349  0.0000  0.1049
As  0.7349  0.5000  0.1049
P  0.0149  0.5000  0.6049
P  0.5149  0.0000  0.6049

#x
This record from Alexandria via LeMat-Bulk describes a geometry-optimized Sb2AsP structure. The functional is PBEsol.

DOS(E_F) = 0.092 states/eV per atom
Total moment = 0.0 μB/cell

Cell lengths 4.1482, 3.9966, 5.7690 Å; angles 90.00, 93.15, 90.00 degrees
Fractional positions:
Sb  0.0000  0.0000  0.0000
Sb  0.4854  0.5000  0.4877
As  0.5510  0.5000  0.9617
P  0.0628  0.0000  0.4563

#y
This record from Alexandria via LeMat-Bulk describes a geometry-optimized Sb2AsP structure. The functional is PBEsol.

DOS(E_F) = 0.360 states/eV per atom
Total moment = 0.0 μB/cell

Cell lengths 3.9757, 3.9757, 19.9124 Å; angles 90.00, 90.00, 120.00 degrees
Fractional positions:
Sb  0.0000  0.0000  0.2468
Sb  0.0000  0.0000  0.7532
Sb  0.3333  0.6667  0.4198
Sb  0.3333  0.6667  0.9135
Sb  0.6667  0.3333  0.0865
Sb  0.6667  0.3333  0.5802
As  0.0000  0.0000  0.0000
As  0.3333  0.6667  0.6667
As  0.6667  0.3333  0.3333
P  0.0000  0.0000  0.5000
P  0.3333  0.6667  0.1667
P  0.6667  0.3333  0.8333

Stability order, top to bottom: #x, #y, #w

#w
This record from Alexandria via LeMat-Bulk describes a geometry-optimized Sb2AsP structure. The functional is PBEsol.

DOS(E_F) = 0.604 states/eV per atom
Total moment = 0.0 μB/cell

Cell lengths 3.5059, 5.2677, 9.3605 Å; angles 90.00, 90.00, 90.00 degrees
Fractional positions:
Sb  0.0000  0.0000  0.0000
Sb  0.0000  0.5000  0.2899
Sb  0.5000  0.0000  0.2899
Sb  0.5000  0.5000  0.0000
As  0.0000  0.5000  0.7214
As  0.5000  0.0000  0.7214
P  0.0000  0.0000  0.5393
P  0.5000  0.5000  0.5393

#x
This record from Alexandria via LeMat-Bulk describes a geometry-optimized Sb2AsP structure. The functional is PBEsol.

DOS(E_F) = 0.055 states/eV per atom
Total moment = 0.0 μB/cell

Cell lengths 3.9899, 3.9899, 20.8507 Å; angles 90.00, 90.00, 120.00 degrees
Fractional positions:
Sb  0.0000  0.0000  0.0000
Sb  0.0000  0.0000  0.2185
Sb  0.3333  0.6667  0.6667
Sb  0.3333  0.6667  0.8851
Sb  0.6667  0.3333  0.3333
Sb  0.6667  0.3333  0.5518
As  0.0000  0.0000  0.7354
As  0.3333  0.6667  0.4020
As  0.6667  0.3333  0.0687
P  0.0000  0.0000  0.4894
P  0.3333  0.6667  0.1560
P  0.6667  0.3333  0.8227

Stability order, top to bottom: #x, #w

#w
This record from Alexandria via LeMat-Bulk describes a geometry-optimized SbAs2P structure. The functional is PBEsol.

DOS(E_F) = 0.260 states/eV per atom
Total moment = 0.0 μB/cell

Cell lengths 3.8968, 3.8968, 5.6608 Å; angles 90.00, 90.00, 90.00 degrees
Fractional positions:
Sb  0.0000  0.0000  0.0000
As  0.0000  0.0000  0.4691
As  0.5000  0.5000  0.5184
P  0.5000  0.5000  0.9355

#x
This record from Alexandria via LeMat-Bulk describes a geometry-optimized SbAs2P structure. The functional is PBEsol.

DOS(E_F) = 0.070 states/eV per atom
Total moment = 0.0 μB/cell

Cell lengths 3.8581, 3.8581, 20.1793 Å; angles 90.00, 90.00, 120.00 degrees
Fractional positions:
Sb  0.0000  0.0000  0.0000
Sb  0.3333  0.6667  0.6667
Sb  0.6667  0.3333  0.3333
As  0.0000  0.0000  0.2229
As  0.0000  0.0000  0.4935
As  0.3333  0.6667  0.1602
As  0.3333  0.6667  0.8896
As  0.6667  0.3333  0.5563
As  0.6667  0.3333  0.8269
P  0.0000  0.0000  0.7346
P  0.3333  0.6667  0.4013
P  0.6667  0.3333  0.0680

#y
This record from Alexandria via LeMat-Bulk describes a geometry-optimized SbAs2P structure. The functional is PBEsol.

DOS(E_F) = 0.517 states/eV per atom
Total moment = 0.0 μB/cell

Cell lengths 4.6985, 4.6985, 3.4862 Å; angles 90.00, 90.00, 90.00 degrees
Fractional positions:
Sb  0.0000  0.0000  0.0000
As  0.0000  0.5000  0.5000
As  0.5000  0.0000  0.5000
P  0.5000  0.5000  0.0000

Stability order, top to bottom: #x, #w, #y

#w
This record from Alexandria via LeMat-Bulk describes a geometry-optimized AsPSe2 structure. The functional is PBEsol.

DOS(E_F) = 0.455 states/eV per atom
Total moment = 0.0 μB/cell

Cell lengths 3.4920, 3.4920, 7.4716 Å; angles 90.00, 90.00, 90.00 degrees
Fractional positions:
As  0.0000  0.0000  0.0000
P  0.5000  0.5000  0.9182
Se  0.0000  0.0000  0.3060
Se  0.5000  0.5000  0.6302

#x
This record from Alexandria via LeMat-Bulk describes a geometry-optimized AsPSe2 structure. The functional is PBEsol.

DOS(E_F) = 0.311 states/eV per atom
Total moment = 0.0 μB/cell

Cell lengths 3.3988, 3.4388, 14.9801 Å; angles 90.00, 90.00, 90.00 degrees
Fractional positions:
As  0.0000  0.0000  0.0000
As  0.5000  0.5000  0.5000
P  0.0000  0.5000  0.3522
P  0.5000  0.0000  0.8522
Se  0.0000  0.0000  0.5715
Se  0.0000  0.5000  0.7977
Se  0.5000  0.0000  0.2977
Se  0.5000  0.5000  0.0715

Stability order, top to bottom: #w, #x

#w
This record from Alexandria via LeMat-Bulk describes a geometry-optimized TcAsP structure. The functional is PBEsol.

DOS(E_F) = 1.123 states/eV per atom
Total moment = 0.0 μB/cell

Cell lengths 5.7656, 5.7656, 5.7656 Å; angles 90.00, 90.00, 90.00 degrees
Fractional positions:
Tc  0.0000  0.0000  0.0000
Tc  0.0000  0.5000  0.5000
Tc  0.5000  0.0000  0.5000
Tc  0.5000  0.5000  0.0000
As  0.0000  0.0000  0.5000
As  0.0000  0.5000  0.0000
As  0.5000  0.0000  0.0000
As  0.5000  0.5000  0.5000
P  0.2500  0.2500  0.2500
P  0.2500  0.7500  0.7500
P  0.7500  0.2500  0.7500
P  0.7500  0.7500  0.2500

#x
This record from Alexandria via LeMat-Bulk describes a geometry-optimized TcAsP structure. The functional is PBEsol.

DOS(E_F) = 0.467 states/eV per atom
Total moment = 0.0 μB/cell

Cell lengths 4.0876, 4.0876, 3.1034 Å; angles 90.00, 90.00, 120.00 degrees
Fractional positions:
Tc  0.0000  0.0000  0.0000
As  0.3333  0.6667  0.5000
P  0.6667  0.3333  0.0000

Stability order, top to bottom: #x, #w

#w
This record from Alexandria via LeMat-Bulk describes a geometry-optimized Tc2AsP structure. The functional is PBEsol.

DOS(E_F) = 0.657 states/eV per atom
Total moment = 0.0 μB/cell

Cell lengths 2.9640, 2.9640, 5.9975 Å; angles 90.00, 90.00, 90.00 degrees
Fractional positions:
Tc  0.0000  0.0000  0.2368
Tc  0.0000  0.0000  0.7632
As  0.5000  0.5000  0.5000
P  0.5000  0.5000  0.0000

#x
This record from Alexandria via LeMat-Bulk describes a geometry-optimized Tc2AsP structure. The functional is PBEsol.

DOS(E_F) = 1.049 states/eV per atom
Total moment = 0.0 μB/cell

Cell lengths 2.9144, 4.6349, 9.3327 Å; angles 90.00, 90.00, 90.00 degrees
Fractional positions:
Tc  0.0000  0.0000  0.0000
Tc  0.0000  0.5000  0.2400
Tc  0.5000  0.0000  0.2400
Tc  0.5000  0.5000  0.0000
As  0.0000  0.0000  0.4630
As  0.5000  0.5000  0.4630
P  0.0000  0.5000  0.8018
P  0.5000  0.0000  0.8018

Stability order, top to bottom: #w, #x

#w
This record from Alexandria via LeMat-Bulk describes a geometry-optimized TlAs2P structure. The functional is PBEsol.

DOS(E_F) = 0.351 states/eV per atom
Total moment = 0.0 μB/cell

Cell lengths 9.8908, 3.3676, 5.7645 Å; angles 90.00, 111.52, 90.00 degrees
Fractional positions:
Tl  0.0000  0.0000  0.0000
Tl  0.5000  0.5000  0.0000
As  0.1998  0.0000  0.6270
As  0.3002  0.5000  0.3730
As  0.6998  0.5000  0.6270
As  0.8002  0.0000  0.3730
P  0.0000  0.5000  0.5000
P  0.5000  0.0000  0.5000

#x
This record from Alexandria via LeMat-Bulk describes a geometry-optimized TlAs2P structure. The functional is PBEsol.

DOS(E_F) = 0.383 states/eV per atom
Total moment = 0.0 μB/cell

Cell lengths 3.7120, 4.9230, 9.0298 Å; angles 90.00, 90.00, 90.00 degrees
Fractional positions:
Tl  0.0000  0.0000  0.0000
Tl  0.5000  0.5000  0.0000
As  0.0000  0.0000  0.5302
As  0.0000  0.5000  0.2809
As  0.5000  0.0000  0.2809
As  0.5000  0.5000  0.5302
P  0.0000  0.5000  0.7066
P  0.5000  0.0000  0.7066

#y
This record from Alexandria via LeMat-Bulk describes a geometry-optimized TlAs2P structure. The functional is PBEsol.

DOS(E_F) = 0.577 states/eV per atom
Total moment = 0.0 μB/cell

Cell lengths 3.4197, 3.4197, 25.1563 Å; angles 90.00, 90.00, 120.00 degrees
Fractional positions:
Tl  0.0000  0.0000  0.0000
Tl  0.3333  0.6667  0.6667
Tl  0.6667  0.3333  0.3333
As  0.0000  0.0000  0.2276
As  0.0000  0.0000  0.7724
As  0.3333  0.6667  0.4390
As  0.3333  0.6667  0.8943
As  0.6667  0.3333  0.1057
As  0.6667  0.3333  0.5610
P  0.0000  0.0000  0.5000
P  0.3333  0.6667  0.1667
P  0.6667  0.3333  0.8333

#z
This record from Alexandria via LeMat-Bulk describes a geometry-optimized TlAs2P structure. The functional is PBEsol.

DOS(E_F) = 0.666 states/eV per atom
Total moment = 0.0 μB/cell

Cell lengths 4.7071, 4.7071, 3.5762 Å; angles 90.00, 90.00, 90.00 degrees
Fractional positions:
Tl  0.0000  0.0000  0.0000
As  0.0000  0.5000  0.5000
As  0.5000  0.0000  0.5000
P  0.5000  0.5000  0.0000

Stability order, top to bottom: #y, #w, #x, #z

#w
This record from Alexandria via LeMat-Bulk describes a geometry-optimized Tl2AsP structure. The functional is PBEsol.

DOS(E_F) = 0.397 states/eV per atom
Total moment = 0.0 μB/cell

Cell lengths 11.6424, 3.4359, 5.4140 Å; angles 90.00, 117.68, 90.00 degrees
Fractional positions:
Tl  0.0000  0.0000  0.0000
Tl  0.2074  0.0000  0.7061
Tl  0.5000  0.5000  0.0000
Tl  0.7074  0.5000  0.7061
As  0.4214  0.0000  0.4212
As  0.9214  0.5000  0.4212
P  0.2659  0.5000  0.2645
P  0.7659  0.0000  0.2645

#x
This record from Alexandria via LeMat-Bulk describes a geometry-optimized Tl2AsP structure. The functional is PBEsol.

DOS(E_F) = 0.576 states/eV per atom
Total moment = 0.0 μB/cell

Cell lengths 3.1232, 4.6278, 6.2774 Å; angles 90.00, 90.00, 90.00 degrees
Fractional positions:
Tl  0.0000  0.0000  0.2460
Tl  0.0000  0.0000  0.7540
As  0.5000  0.5000  0.5000
P  0.5000  0.5000  0.0000

#y
This record from Alexandria via LeMat-Bulk describes a geometry-optimized Tl2AsP structure. The functional is PBEsol.

DOS(E_F) = 0.441 states/eV per atom
Total moment = 0.0 μB/cell

Cell lengths 3.4538, 3.4538, 27.6225 Å; angles 90.00, 90.00, 120.00 degrees
Fractional positions:
Tl  0.0000  0.0000  0.0000
Tl  0.0000  0.0000  0.2327
Tl  0.3333  0.6667  0.6667
Tl  0.3333  0.6667  0.8994
Tl  0.6667  0.3333  0.3333
Tl  0.6667  0.3333  0.5661
As  0.0000  0.0000  0.7626
As  0.3333  0.6667  0.4292
As  0.6667  0.3333  0.0959
P  0.0000  0.0000  0.4778
P  0.3333  0.6667  0.1445
P  0.6667  0.3333  0.8112

Stability order, top to bottom: #y, #w, #x